(1)
KCoHg2 | GGA-PBEsol | optimized geometry

Cell and atoms, written as POSCAR:
```
KCoHg2
1.0
-2.175 2.175 4.622
2.175 -2.175 4.622
2.175 2.175 -4.622
K Co Hg
1 1 2
direct
0.000 0.000 0.000
0.750 0.250 0.500
0.250 0.750 0.500
0.500 0.500 0.000
```

For the total energy, the calculation gives -1.89 eV per atom. Its energy above the lowest structure with this stoichiometry is 7.63 kcal/mol of atoms. The formation energy comes out at 0.61 eV/atom.

=====

(2)
LaCoHg4 | GGA-PBEsol | optimized geometry

Cell and atoms, written as POSCAR:
```
LaCoHg4
1.0
0.000 4.052 4.052
4.052 0.000 4.052
4.052 4.052 0.000
La Co Hg
1 1 4
direct
0.000 0.000 0.000
0.750 0.750 0.750
0.376 0.376 0.376
0.376 0.376 0.873
0.376 0.873 0.376
0.873 0.376 0.376
```

For the total energy, the calculation gives -2.44 eV per atom. The formation energy comes out at 0.12 eV/atom.

=====

(3)
LaCo3Hg | GGA-PBEsol | optimized geometry

Cell and atoms, written as POSCAR:
```
LaCo3Hg
1.0
4.517 0.000 0.000
0.000 4.517 0.000
0.000 0.000 4.517
La Co Hg
1 3 1
direct
0.000 0.000 0.000
0.000 0.000 0.500
0.000 0.500 0.000
0.500 0.000 0.000
0.500 0.500 0.500
```

For the total energy, the calculation gives -4.35 eV per atom. The formation energy comes out at 1.48 eV/atom.

=====

(4)
Li2CoHg | GGA-PBEsol | optimized geometry

Cell and atoms, written as POSCAR:
```
Li2CoHg
1.0
-1.875 1.875 3.968
1.875 -1.875 3.968
1.875 1.875 -3.968
Li Co Hg
2 1 1
direct
0.250 0.750 0.500
0.750 0.250 0.500
0.000 0.000 0.000
0.500 0.500 0.000
```

For the total energy, the calculation gives -3.00 eV per atom. The formation energy comes out at 0.06 eV/atom.

=====

(5)
Li2CoHg | GGA-PBEsol | optimized geometry

Cell and atoms, written as POSCAR:
```
Li2CoHg
1.0
0.000 3.045 3.045
3.045 0.000 3.045
3.045 3.045 0.000
Li Co Hg
2 1 1
direct
0.000 0.000 0.000
0.250 0.250 0.250
0.500 0.500 0.500
0.750 0.750 0.750
```

For the total energy, the calculation gives -2.99 eV per atom. The formation energy comes out at 0.07 eV/atom.

=====

(6)
LiCoHg2 | GGA-PBEsol | optimized geometry

Cell and atoms, written as POSCAR:
```
LiCoHg2
1.0
1.498 0.865 8.704
-1.498 0.865 8.704
0.000 -1.730 8.704
Li Co Hg
1 1 2
direct
0.000 0.000 0.000
0.500 0.500 0.500
0.247 0.247 0.247
0.753 0.753 0.753
```

For the total energy, the calculation gives -2.54 eV per atom. The formation energy comes out at 0.17 eV/atom.

=====

(7)
LiCoHg | GGA-PBEsol | optimized geometry

Cell and atoms, written as POSCAR:
```
LiCoHg
1.0
0.000 2.984 2.984
2.984 0.000 2.984
2.984 2.984 0.000
Li Co Hg
1 1 1
direct
0.000 0.000 0.000
0.500 0.500 0.500
0.250 0.250 0.250
```

For the total energy, the calculation gives -2.92 eV per atom. Its energy above the lowest structure with this stoichiometry is 0.00 kcal/mol of atoms. The formation energy comes out at 0.50 eV/atom.

=====

(8)
LiCoHg2 | GGA-PBEsol | optimized geometry

Cell and atoms, written as POSCAR:
```
LiCoHg2
1.0
3.117 0.000 0.000
0.000 3.117 0.000
0.000 0.000 6.472
Li Co Hg
1 1 2
direct
0.000 0.000 0.000
0.000 0.000 0.500
0.500 0.500 0.256
0.500 0.500 0.744
```

For the total energy, the calculation gives -2.67 eV per atom. The formation energy comes out at 0.04 eV/atom.